# LiAc2AsPd6, optimized geometry, DFT PBE
# * E_form: -6.559 eV per formula unit
data_LiAc2AsPd6
_chemical_formula_sum 'Li1 Ac2 As1 Pd6'
_space_group_name_H-M_alt 'P -1'
_space_group_IT_number 2
_space_group_name_Hall '-P 1'
_cell_length_a 5.646
_cell_length_b 6.682
_cell_length_c 6.784
_cell_angle_alpha 77.43
_cell_angle_beta 65.50
_cell_angle_gamma 65.02
loop_
_atom_site_label
_atom_site_type_symbol
_atom_site_fract_x
_atom_site_fract_y
_atom_site_fract_z
Li1 Li 0.000 0.000 0.000
Ac1 Ac 0.256 0.272 0.214
As1 As 0.500 0.500 0.500
Pd1 Pd 0.243 0.259 0.742
Pd2 Pd 0.244 0.740 0.257
Pd3 Pd 0.244 0.899 0.612